The following is a GGA-PBE calculation of a geometry-optimized Ti4As5H structure, from Alexandria.

It has space group C2/m (No. 12), with a = 13.538 Å, b = 3.496 Å, c = 7.170 Å, α = 90.00°, β = 91.34° and γ = 90.00°. The asymmetric unit holds Ti at (0.011, 0.000, 0.240), Ti at (0.142, 0.500, 0.957), As at (0.000, 0.500, 0.500), As at (0.170, 0.000, 0.662), As at (0.193, 0.000, 0.210) and H at (0.000, 0.500, 0.000).

For the uncorrected energy, the calculation gives -0.4550 Ry per atom. The density comes out at 5.55 Mg/m³. For the total moment, the calculation gives 0.000 Bohr magnetons per cell.